Crystalline RbCd2Sn at its relaxed geometry. Source: Alexandria via LeMat-Bulk, functional PBE.

Values from the calculation:
Crystal system: trigonal
Density, g cm⁻³: 4.887
Density of states at the Fermi level, states/eV/cell: 1.8
Final energy, eV/f.u.: -7.06
Total magnetization, μB/f.u.: 0.00

Cell: 5.131 5.131 7.047 Å, 68.65 68.65 60.00°
Positions (direct):
Rb 0.500 0.500 0.500
Cd 0.703 0.703 0.890
Cd 0.297 0.297 0.110
Sn 0.000 0.000 0.000